GGA-PBE Ca2Y, optimized geometry; DFT formation energy = 0.09 eV/atom; calculated volume = 38.0 Å³ per atom; SG = No. 12; calculated density = 2.46 g/cm³; offset from the most stable computed form = 0.009 eV/atom
1.0
6.969 -1.870 0.000
6.969 1.870 0.000
-2.462 0.000 8.754
Ca Y
4 2
Direct
0.026 0.026 0.315
0.358 0.358 0.969
0.642 0.642 0.031
0.974 0.974 0.685
0.298 0.298 0.372
0.702 0.702 0.628



GGA-PBE Ca2Y, optimized geometry; DFT formation energy = 0.08 eV/atom; calculated volume = 37.9 Å³ per atom; SG = No. 63; calculated density = 2.47 g/cm³; offset from the most stable computed form = 0.000 eV/atom
1.0
1.883 -9.990 0.000
1.883 9.990 0.000
0.000 0.000 6.041
Ca Y
4 2
Direct
0.060 0.940 0.750
0.382 0.618 0.750
0.618 0.382 0.250
0.940 0.060 0.250
0.275 0.725 0.250
0.725 0.275 0.750



GGA-PBE CaY5, optimized geometry; DFT formation energy = 0.04 eV/atom; calculated volume = 33.8 Å³ per atom; SG = No. 8; calculated density = 3.97 g/cm³; offset from the most stable computed form = 0.000 eV/atom
1.0
6.612 -1.831 0.000
6.612 1.831 0.000
-2.024 0.000 8.372
Ca Y
1 5
Direct
0.000 0.000 0.000
0.274 0.274 0.060
0.332 0.332 0.660
0.618 0.618 0.715
0.670 0.670 0.339
0.943 0.943 0.394



GGA-PBE CaY5, optimized geometry; DFT formation energy = 0.13 eV/atom; calculated volume = 33.5 Å³ per atom; SG = No. 65; calculated density = 4.00 g/cm³; offset from the most stable computed form = 0.083 eV/atom
1.0
2.871 -8.914 0.000
2.871 8.914 0.000
0.000 0.000 3.931
Ca Y
1 5
Direct
0.000 0.000 0.000
0.155 0.845 0.500
0.319 0.681 0.000
0.500 0.500 0.500
0.681 0.319 0.000
0.845 0.155 0.500



GGA-PBE Ca4Y5, optimized geometry; DFT formation energy = 0.18 eV/atom; calculated volume = 35.4 Å³ per atom; SG = No. 193; calculated density = 3.15 g/cm³
1.0
10.233 0.000 0.000
-5.116 8.862 0.000
0.000 0.000 7.029
Ca Y
8 10
Direct
0.000 0.000 0.000
0.000 0.000 0.500
0.000 0.305 0.250
0.000 0.695 0.750
0.305 0.000 0.250
0.305 0.305 0.750
0.695 0.000 0.750
0.695 0.695 0.250
0.000 0.373 0.750
0.000 0.627 0.250
0.333 0.667 0.000
0.333 0.667 0.500
0.373 0.000 0.750
0.373 0.373 0.250
0.627 0.000 0.250
0.627 0.627 0.750
0.667 0.333 0.000
0.667 0.333 0.500



GGA-PBE CaY5, optimized geometry; DFT formation energy = 0.05 eV/atom; calculated volume = 33.7 Å³ per atom; SG = No. 38; calculated density = 3.98 g/cm³; offset from the most stable computed form = 0.006 eV/atom
1.0
5.771 0.000 0.000
0.000 1.825 9.595
0.000 -1.825 9.595
Ca Y
1 5
Direct
0.000 0.000 0.000
0.000 0.331 0.331
0.000 0.671 0.671
0.500 0.223 0.223
0.500 0.559 0.559
0.500 0.888 0.888



GGA-PBE Ca4YZn, optimized geometry; DFT formation energy = 0.43 eV/atom; calculated volume = 37.5 Å³ per atom; SG = No. 216; calculated density = 2.32 g/cm³
1.0
0.000 4.825 4.825
4.825 0.000 4.825
4.825 4.825 0.000
Ca Y Zn
4 1 1
Direct
0.125 0.125 0.125
0.125 0.125 0.626
0.125 0.626 0.125
0.626 0.125 0.125
0.750 0.750 0.750
0.500 0.500 0.500



GGA-PBE Ca2YZn, optimized geometry; DFT formation energy = 0.14 eV/atom; calculated volume = 31.1 Å³ per atom; SG = No. 12; calculated density = 3.13 g/cm³
1.0
3.387 -5.770 0.000
3.387 5.770 0.000
-1.635 0.000 3.182
Ca Y Zn
2 1 1
Direct
0.000 0.500 0.000
0.500 0.000 0.000
0.000 0.000 0.500
0.500 0.500 0.500